# 1
Material: TmMgSe3
Method: DFT, PBE-GGA
State: relaxed

Calculated values
E_form (uncorrected) ... -1.239 eV/atom
Energy above the lowest structure with this stoichiometry ... 0 meV/atom
Magnetization ... 0.00 μB/f.u.
VASP energy ... -4.54 eV per atom

abc: 7.365 7.365 7.365
angles: 56.72 56.72 56.72
Sites, in units of the cell vectors:
Tm: 0.656 0.656 0.656
Tm: 0.344 0.344 0.344
Se: 0.565 0.242 0.937
Se: 0.758 0.063 0.435
Se: 0.937 0.565 0.242
Se: 0.435 0.758 0.063
Se: 0.063 0.435 0.758
Se: 0.242 0.937 0.565
Mg: 0.847 0.847 0.847
Mg: 0.153 0.153 0.153

***

# 2
Material: Y3Tm3MgSe8
Method: DFT, PBE-GGA
State: relaxed

Calculated values
E_form (uncorrected) ... -1.736 eV/atom
Magnetization ... 0.00 μB/f.u.
VASP energy ... -5.89 eV per atom

abc: 8.052 8.052 8.088
angles: 119.85 90.00 120.00
Sites, in units of the cell vectors:
Se: 0.748 0.496 0.744
Se: 0.252 0.504 0.256
Se: 0.751 0.996 0.740
Se: 0.245 0.996 0.740
Se: 0.755 0.511 0.260
Se: 0.755 0.004 0.260
Se: 0.245 0.489 0.740
Se: 0.249 0.004 0.260
Tm: 0.500 0.000 0.500
Tm: 0.500 0.500 0.500
Tm: 0.000 0.500 0.500
Y: 0.500 0.500 0.000
Y: 0.000 0.000 0.000
Y: 0.000 0.500 0.000
Mg: 0.000 0.000 0.500

***

# 3
Material: MgU6Se12
Method: DFT, PBE-GGA
State: relaxed

Calculated values
E_form (uncorrected) ... -1.110 eV/atom
Magnetization ... 14.00 μB/f.u.
VASP energy ... -6.96 eV per atom

abc: 8.206 8.206 8.206
angles: 100.34 100.34 100.34
Sites, in units of the cell vectors:
Se: 0.573 0.824 0.428
Se: 0.043 0.936 0.682
Se: 0.824 0.428 0.573
Se: 0.427 0.176 0.572
Se: 0.957 0.064 0.318
Se: 0.428 0.573 0.824
Se: 0.176 0.572 0.427
Se: 0.064 0.318 0.957
Se: 0.572 0.427 0.176
Se: 0.682 0.043 0.936
Se: 0.936 0.682 0.043
Se: 0.318 0.957 0.064
Mg: 0.000 0.000 0.000
U: 0.374 0.869 0.701
U: 0.299 0.626 0.131
U: 0.131 0.299 0.626
U: 0.869 0.701 0.374
U: 0.701 0.374 0.869
U: 0.626 0.131 0.299

***

# 4
Material: MgU4Se8
Method: DFT, PBE-GGA
State: relaxed

Calculated values
E_form (uncorrected) ... -0.924 eV/atom
Magnetization ... 9.58 μB/f.u.
VASP energy ... -6.66 eV per atom

abc: 7.129 7.636 7.636
angles: 77.42 62.18 62.18
Sites, in units of the cell vectors:
U: 0.000 0.500 0.000
U: 0.500 0.000 0.500
U: 0.000 0.000 0.500
U: 0.500 0.500 0.000
Se: 0.260 0.240 0.240
Se: 0.740 0.760 0.760
Se: 0.500 0.240 0.760
Se: 0.730 0.270 0.270
Se: 0.000 0.730 0.270
Se: 0.500 0.760 0.240
Se: 0.000 0.270 0.730
Se: 0.270 0.730 0.730
Mg: 0.000 0.000 0.000

***

# 5
Material: Mg3U6Se14
Method: DFT, PBE-GGA
State: relaxed

Calculated values
E_form (uncorrected) ... -1.107 eV/atom
Magnetization ... 14.00 μB/f.u.
VASP energy ... -6.38 eV per atom

abc: 6.361 10.153 10.153
angles: 120.00 90.00 90.00
Sites, in units of the cell vectors:
Se: 0.446 0.000 0.000
Se: 0.207 0.561 0.479
Se: 0.694 0.415 0.226
Se: 0.694 0.774 0.189
Se: 0.949 0.333 0.667
Se: 0.514 0.179 0.772
Se: 0.694 0.811 0.585
Se: 0.514 0.593 0.821
Se: 0.011 0.156 0.897
Se: 0.514 0.228 0.407
Se: 0.207 0.918 0.439
Se: 0.011 0.740 0.844
Se: 0.207 0.521 0.082
Se: 0.011 0.103 0.260
U: 0.757 0.039 0.483
U: 0.757 0.443 0.961
U: 0.256 0.814 0.108
U: 0.757 0.517 0.557
U: 0.256 0.293 0.186
U: 0.256 0.892 0.707
Mg: 0.454 0.667 0.333
Mg: 0.836 0.000 0.000
Mg: 0.339 0.333 0.667

***

# 6
Material: MgU3Se6
Method: DFT, PBE-GGA
State: relaxed

Calculated values
E_form (uncorrected) ... -1.124 eV/atom
Magnetization ... 8.00 μB/f.u.
VASP energy ... -6.76 eV per atom

abc: 6.929 8.846 8.846
angles: 101.79 90.00 90.00
Sites, in units of the cell vectors:
Se: 0.690 0.971 0.029
Se: 0.212 0.094 0.554
Se: 0.181 0.698 0.627
Se: 0.712 0.906 0.446
Se: 0.190 0.029 0.971
Se: 0.681 0.627 0.698
Se: 0.181 0.373 0.302
Se: 0.212 0.446 0.906
Se: 0.712 0.554 0.094
Se: 0.149 0.772 0.228
Se: 0.649 0.228 0.772
Se: 0.681 0.302 0.373
U: 0.482 0.277 0.079
U: 0.881 0.599 0.401
U: 0.982 0.723 0.921
U: 0.982 0.079 0.277
U: 0.381 0.401 0.599
U: 0.482 0.921 0.723
Mg: 0.013 0.198 0.802
Mg: 0.513 0.802 0.198

***

# 7
Material: MgVSe
Method: DFT, PBE-GGA
State: relaxed

Calculated values
E_form (uncorrected) ... -0.271 eV/atom
Energy above the lowest structure with this stoichiometry ... 185 meV/atom
Magnetization ... 0.00 μB/f.u.
VASP energy ... -5.00 eV per atom

abc: 3.389 5.771 6.741
angles: 69.40 88.36 76.06
Sites, in units of the cell vectors:
Mg: 0.473 0.561 0.671
Mg: 0.803 0.017 0.951
Se: 0.448 0.621 0.227
Se: 0.797 0.988 0.574
V: 0.287 0.045 0.287
V: 0.058 0.386 0.080

***

# 8
Material: MgVSe
Method: DFT, PBE-GGA
State: relaxed

Calculated values
E_form (uncorrected) ... -0.262 eV/atom
Energy above the lowest structure with this stoichiometry ... 193 meV/atom
Magnetization ... 0.00 μB/f.u.
VASP energy ... -4.99 eV per atom

abc: 3.815 5.895 6.241
angles: 63.62 81.66 71.80
Sites, in units of the cell vectors:
V: 0.276 0.907 0.477
V: 0.029 0.769 0.335
Se: 0.119 0.716 0.929
Se: 0.671 0.420 0.556
Mg: 0.449 0.057 0.946
Mg: 0.704 0.340 0.167

***

# 9
Material: MgV4Se8
Method: DFT, PBE-GGA
State: relaxed

Calculated values
E_form (uncorrected) ... -0.786 eV/atom
Magnetization ... 6.05 μB/f.u.
VASP energy ... -5.86 eV per atom

abc: 7.080 7.080 7.310
angles: 102.84 105.70 119.41
Sites, in units of the cell vectors:
Se: 0.214 0.051 0.265
Se: 0.790 0.465 0.767
Se: 0.210 0.535 0.233
Se: 0.302 0.976 0.767
Se: 0.786 0.949 0.735
Se: 0.311 0.493 0.804
Se: 0.698 0.024 0.233
Se: 0.689 0.507 0.196
V: 0.770 0.223 0.992
V: 0.230 0.777 0.008
V: 0.217 0.217 0.000
V: 0.783 0.783 0.000
Mg: 0.000 0.500 0.500

***

# 10
Material: MgVSe
Method: DFT, PBE-GGA
State: relaxed

Calculated values
E_form (uncorrected) ... -0.257 eV/atom
Energy above the lowest structure with this stoichiometry ... 199 meV/atom
Magnetization ... 0.00 μB/f.u.
VASP energy ... -4.99 eV per atom

abc: 6.375 3.468 12.581
angles: 90.00 118.45 90.00
Sites, in units of the cell vectors:
V: 0.862 0.500 0.378
V: 0.714 0.500 0.196
V: 0.714 0.000 0.696
V: 0.862 0.000 0.878
Mg: 0.152 0.500 0.082
Mg: 0.166 0.500 0.839
Mg: 0.166 0.000 0.339
Mg: 0.152 0.000 0.582
Se: 0.810 0.500 0.579
Se: 0.505 0.500 0.765
Se: 0.810 0.000 0.079
Se: 0.505 0.000 0.265

***

# 11
Material: MgVSe
Method: DFT, PBE-GGA
State: relaxed

Calculated values
E_form (uncorrected) ... -0.217 eV/atom
Energy above the lowest structure with this stoichiometry ... 239 meV/atom
Magnetization ... 0.00 μB/f.u.
VASP energy ... -4.95 eV per atom

abc: 5.858 3.555 12.384
angles: 90.00 108.20 90.00
Sites, in units of the cell vectors:
Se: 0.389 0.000 0.575
Se: 0.701 0.500 0.378
Se: 0.701 0.000 0.878
Se: 0.389 0.500 0.075
V: 0.864 0.000 0.268
V: 0.716 0.000 0.111
V: 0.716 0.500 0.611
V: 0.864 0.500 0.768
Mg: 0.313 0.500 0.724
Mg: 0.226 0.500 0.405
Mg: 0.226 0.000 0.905
Mg: 0.313 0.000 0.224

***

# 12
Material: MgVSe
Method: DFT, PBE-GGA
State: relaxed

Calculated values
E_form (uncorrected) ... -0.388 eV/atom
Energy above the lowest structure with this stoichiometry ... 68 meV/atom
Magnetization ... 0.00 μB/f.u.
VASP energy ... -5.12 eV per atom

abc: 4.248 3.385 8.204
angles: 90.00 104.98 90.00
Sites, in units of the cell vectors:
V: 0.744 0.750 0.488
V: 0.256 0.250 0.512
Se: 0.856 0.250 0.713
Se: 0.144 0.750 0.287
Mg: 0.416 0.750 0.834
Mg: 0.584 0.250 0.166

***

# 13
Material: MgVSe
Method: DFT, PBE-GGA
State: relaxed

Calculated values
E_form (uncorrected) ... -0.456 eV/atom
Energy above the lowest structure with this stoichiometry ... 0 meV/atom
Magnetization ... 0.00 μB/f.u.
VASP energy ... -5.19 eV per atom

abc: 6.617 3.466 9.999
angles: 90.00 106.12 90.00
Sites, in units of the cell vectors:
V: 0.543 0.000 0.357
V: 0.457 0.000 0.643
V: 0.543 0.500 0.857
V: 0.457 0.500 0.143
Se: 0.802 0.000 0.833
Se: 0.198 0.500 0.667
Se: 0.802 0.500 0.333
Se: 0.198 0.000 0.167
Mg: 0.236 0.000 0.907
Mg: 0.764 0.000 0.093
Mg: 0.764 0.500 0.593
Mg: 0.236 0.500 0.407

***

# 14
Material: MgVSe
Method: DFT, PBE-GGA
State: relaxed

Calculated values
E_form (uncorrected) ... -0.280 eV/atom
Energy above the lowest structure with this stoichiometry ... 176 meV/atom
Magnetization ... 0.00 μB/f.u.
VASP energy ... -5.01 eV per atom

abc: 6.565 3.509 11.213
angles: 90.00 111.06 90.00
Sites, in units of the cell vectors:
Se: 0.765 0.500 0.823
Se: 0.409 0.500 0.499
Se: 0.765 0.000 0.323
Se: 0.409 0.000 0.999
V: 0.902 0.000 0.703
V: 0.902 0.500 0.203
V: 0.691 0.500 0.032
V: 0.691 0.000 0.532
Mg: 0.395 0.500 0.246
Mg: 0.047 0.500 0.538
Mg: 0.047 0.000 0.038
Mg: 0.395 0.000 0.746

***

# 15
Material: MgVSe
Method: DFT, PBE-GGA
State: relaxed

Calculated values
E_form (uncorrected) ... -0.246 eV/atom
Energy above the lowest structure with this stoichiometry ... 209 meV/atom
Magnetization ... 0.00 μB/f.u.
VASP energy ... -4.98 eV per atom

abc: 6.657 4.653 10.056
angles: 90.00 130.28 90.00
Sites, in units of the cell vectors:
V: 0.086 0.500 0.449
V: 0.914 0.000 0.051
V: 0.914 0.500 0.551
V: 0.086 0.000 0.949
Mg: 0.662 0.000 0.263
Mg: 0.338 0.000 0.737
Mg: 0.338 0.500 0.237
Mg: 0.662 0.500 0.763
Se: 0.169 0.500 0.904
Se: 0.831 0.500 0.096
Se: 0.169 0.000 0.404
Se: 0.831 0.000 0.596

***

# 16
Material: Mg3VSe
Method: DFT, PBE-GGA
State: relaxed

Calculated values
E_form (uncorrected) ... 0.443 eV/atom
Energy above the lowest structure with this stoichiometry ... 0 meV/atom
Magnetization ... 3.55 μB/f.u.
VASP energy ... -3.03 eV per atom

abc: 5.031 5.031 5.031
angles: 90.00 90.00 90.00
Sites, in units of the cell vectors:
Mg: 0.000 0.500 0.000
Mg: 0.000 0.000 0.500
Mg: 0.500 0.000 0.000
V: 0.500 0.500 0.500
Se: 0.000 0.000 0.000

***

# 17
Material: Mg3VSe
Method: DFT, PBE-GGA
State: relaxed

Calculated values
E_form (uncorrected) ... 0.857 eV/atom
Energy above the lowest structure with this stoichiometry ... 414 meV/atom
Magnetization ... 4.47 μB/f.u.
VASP energy ... -2.62 eV per atom

abc: 5.221 5.221 5.221
angles: 90.00 90.00 90.00
Sites, in units of the cell vectors:
Mg: 0.500 0.000 0.000
Mg: 0.000 0.500 0.000
Mg: 0.000 0.000 0.500
Se: 0.500 0.500 0.500
V: 0.000 0.000 0.000

***

# 18
Material: Mg3V5Se12
Method: DFT, PBE-GGA
State: relaxed

Calculated values
E_form (uncorrected) ... -0.602 eV/atom
Magnetization ... 7.00 μB/f.u.
VASP energy ... -5.21 eV per atom

abc: 13.392 13.392 13.392
angles: 109.47 109.47 109.47
Sites, in units of the cell vectors:
Se: 0.467 0.787 0.883
Se: 0.415 0.383 0.596
Se: 0.404 0.287 0.320
Se: 0.787 0.467 0.383
Se: 0.596 0.883 0.415
Se: 0.320 0.533 0.415
Se: 0.967 0.585 0.180
Se: 0.117 0.404 0.085
Se: 0.904 0.820 0.787
Se: 0.033 0.415 0.820
Se: 0.287 0.883 0.967
Se: 0.713 0.596 0.180
Se: 0.585 0.967 0.680
Se: 0.904 0.085 0.617
Se: 0.180 0.085 0.967
Se: 0.915 0.096 0.883
Se: 0.680 0.467 0.585
Se: 0.883 0.596 0.915
Se: 0.096 0.180 0.213
Se: 0.383 0.967 0.787
Se: 0.085 0.180 0.467
Se: 0.585 0.617 0.404
Se: 0.117 0.713 0.533
Se: 0.096 0.915 0.383
Se: 0.320 0.787 0.404
Se: 0.033 0.617 0.713
Se: 0.404 0.117 0.585
Se: 0.883 0.287 0.467
Se: 0.533 0.320 0.915
Se: 0.415 0.033 0.320
Se: 0.085 0.904 0.117
Se: 0.596 0.713 0.680
Se: 0.787 0.320 0.904
Se: 0.820 0.915 0.033
Se: 0.617 0.033 0.213
Se: 0.713 0.117 0.033
Se: 0.383 0.415 0.096
Se: 0.967 0.383 0.287
Se: 0.213 0.533 0.617
Se: 0.915 0.820 0.533
Se: 0.680 0.213 0.596
Se: 0.617 0.585 0.904
Se: 0.180 0.096 0.713
Se: 0.533 0.213 0.117
Se: 0.287 0.404 0.820
Se: 0.213 0.680 0.096
Se: 0.467 0.680 0.085
Se: 0.820 0.904 0.287
Mg: 0.625 0.250 0.375
Mg: 0.750 0.875 0.625
Mg: 0.125 0.250 0.875
Mg: 0.125 0.875 0.750
Mg: 0.250 0.625 0.875
Mg: 0.375 0.625 0.250
Mg: 0.375 0.750 0.625
Mg: 0.875 0.750 0.125
Mg: 0.875 0.125 0.250
Mg: 0.250 0.125 0.375
Mg: 0.750 0.375 0.125
Mg: 0.625 0.375 0.750
V: 0.125 0.375 0.250
V: 0.000 0.500 0.500
V: 0.750 0.125 0.875
V: 0.500 0.500 0.500
V: 0.000 0.000 0.000
V: 0.625 0.875 0.250
V: 0.500 0.500 0.000
V: 0.500 0.000 0.500
V: 0.125 0.750 0.375
V: 0.375 0.125 0.750
V: 0.875 0.250 0.625
V: 0.250 0.875 0.125
V: 0.750 0.625 0.375
V: 0.625 0.750 0.875
V: 0.000 0.000 0.500
V: 0.375 0.250 0.125
V: 0.875 0.625 0.750
V: 0.500 0.000 0.000
V: 0.250 0.375 0.625
V: 0.000 0.500 0.000